Entry 1:
A geometry-optimized La2SI structure, computed with PBE.

a = 3.967 Å, b = 8.282 Å, c = 7.270 Å
α = 90.00°, β = 90.00°, γ = 90.00°
Fractional coordinates of all 8 atoms:
La 0.250 0.013 0.210
La 0.250 0.487 0.210
La 0.750 0.513 0.790
La 0.750 0.987 0.790
S 0.250 0.750 0.930
S 0.750 0.250 0.070
I 0.250 0.250 0.582
I 0.750 0.750 0.418

## Properties
Symmetry: No. 59
Energy relative to the elements, uncorrected in meV per atom: -1474
Calculated volume in Å³ per atom: 29.862
Distance to the lowest polymorph of the same formula in kJ per mole of atoms: 12.7



Entry 2:
A geometry-optimized CeMg3Tl2F12 structure, computed with PBE.

a = 7.087 Å, b = 7.087 Å, c = 7.087 Å
α = 64.00°, β = 64.00°, γ = 64.00°
Fractional coordinates of all 18 atoms:
Ce 0.000 0.000 0.000
Mg 0.000 0.000 0.500
Mg 0.000 0.500 0.000
Mg 0.500 0.000 0.000
Tl 0.392 0.392 0.392
Tl 0.608 0.608 0.608
F 0.093 0.727 0.727
F 0.121 0.121 0.625
F 0.121 0.625 0.121
F 0.273 0.273 0.907
F 0.273 0.907 0.273
F 0.375 0.879 0.879
F 0.625 0.121 0.121
F 0.727 0.093 0.727
F 0.727 0.727 0.093
F 0.879 0.375 0.879
F 0.879 0.879 0.375
F 0.907 0.273 0.273

## Properties
Symmetry: No. 166
Energy relative to the elements, uncorrected in meV per atom: -3172
Calculated volume in Å³ per atom: 15.214



Entry 3:
A geometry-optimized SrSeBr structure, computed with PBE.

a = 8.920 Å, b = 8.920 Å, c = 7.954 Å
α = 90.00°, β = 90.00°, γ = 143.60°
Fractional coordinates of all 12 atoms:
Sr 0.124 0.876 0.965
Sr 0.376 0.624 0.465
Sr 0.624 0.376 0.535
Sr 0.876 0.124 0.035
Se 0.233 0.267 0.750
Se 0.267 0.233 0.250
Se 0.733 0.767 0.750
Se 0.767 0.733 0.250
Br 0.197 0.803 0.595
Br 0.303 0.697 0.095
Br 0.697 0.303 0.905
Br 0.803 0.197 0.405

## Properties
Symmetry: No. 64
Energy relative to the elements, uncorrected in meV per atom: -1706
Calculated volume in Å³ per atom: 31.298



Entry 4:
A geometry-optimized SrCr2Br structure, computed with PBE.

a = 5.819 Å, b = 5.819 Å, c = 5.819 Å
α = 141.28°, β = 118.01°, γ = 75.53°
Fractional coordinates of all 4 atoms:
Sr 0.000 0.000 0.000
Cr 0.497 0.497 0.000
Cr 0.678 0.178 0.500
Br 0.282 0.782 0.500

## Properties
Symmetry: No. 44
Energy relative to the elements, uncorrected in meV per atom: 331
Calculated volume in Å³ per atom: 26.591
Distance to the lowest polymorph of the same formula in kJ per mole of atoms: 26.4



Entry 5:
A geometry-optimized In2AsSe structure, computed with PBE.

a = 5.111 Å, b = 5.111 Å, c = 3.593 Å
α = 90.00°, β = 90.00°, γ = 90.00°
Fractional coordinates of all 4 atoms:
In 0.000 0.500 0.000
In 0.500 0.000 0.000
As 0.000 0.000 0.500
Se 0.500 0.500 0.500

## Properties
Symmetry: No. 123
Energy relative to the elements, uncorrected in meV per atom: 17
Calculated volume in Å³ per atom: 23.464
Distance to the lowest polymorph of the same formula in kJ per mole of atoms: 29.6



Entry 6:
A geometry-optimized CaAc2InTe4 structure, computed with PBE.

a = 8.179 Å, b = 4.668 Å, c = 8.207 Å
α = 90.00°, β = 108.95°, γ = 90.00°
Fractional coordinates of all 8 atoms:
Ca 0.000 0.000 0.000
Ac 0.000 0.500 0.500
Ac 0.500 0.000 0.500
In 0.500 0.500 0.000
Te 0.242 0.500 0.240
Te 0.245 0.000 0.752
Te 0.755 0.000 0.248
Te 0.758 0.500 0.760

## Properties
Symmetry: No. 10
Energy relative to the elements, uncorrected in meV per atom: -1275
Calculated volume in Å³ per atom: 37.052